This record from Alexandria via LeMat-Bulk describes a relaxed structure of LaScCd. The functional is PBE-GGA.

Cell: 5.365 5.365 6.747 Å, 90.00 90.00 120.00°
Element x y z (fractional)
La 0.000 0.000 0.000
La 0.333 0.667 0.345
Sc 0.000 0.000 0.520
Sc 0.667 0.333 0.710
Cd 0.333 0.667 0.806
Cd 0.667 0.333 0.238

DOS(E_F), states/eV/f.u.: 1.9
E, eV/atom: -4.199
Energy above the most stable polymorph in this dataset, meV/atom: 32
Space-group type: P3m1 (156)
Energy of formation from the pure elements, eV per formula unit: -0.42



This record from Alexandria via LeMat-Bulk describes a relaxed structure of CaZn2In. The functional is PBE-GGA.

Cell: 4.954 4.954 6.976 Å, 90.00 90.00 90.00°
Element x y z (fractional)
Ca 0.000 0.000 0.000
Ca 0.500 0.500 0.500
Zn 0.000 0.000 0.500
Zn 0.000 0.500 0.750
Zn 0.500 0.000 0.250
Zn 0.500 0.500 0.000
In 0.000 0.500 0.250
In 0.500 0.000 0.750

DOS(E_F), states/eV/f.u.: 1.6
E, eV/atom: -1.956
Space-group type: I-4m2 (119)
Energy of formation from the pure elements, eV per formula unit: -0.54



This record from Alexandria via LeMat-Bulk describes a relaxed structure of AcMgAg. The functional is PBE-GGA.

Cell: 3.718 3.718 12.159 Å, 90.00 90.00 90.00°
Element x y z (fractional)
Ac 0.000 0.000 0.000
Ac 0.500 0.500 0.500
Mg 0.000 0.000 0.292
Mg 0.500 0.500 0.792
Ag 0.000 0.000 0.686
Ag 0.500 0.500 0.186

DOS(E_F), states/eV/f.u.: 3.0
E, eV/atom: -2.976
Energy above the most stable polymorph in this dataset, meV/atom: 139
Space-group type: I4mm (107)
Energy of formation from the pure elements, eV per formula unit: -0.37



This record from Alexandria via LeMat-Bulk describes a relaxed structure of Nb2RuCS. The functional is PBE-GGA.

Cell: 4.342 4.342 3.914 Å, 90.00 90.00 90.00°
Element x y z (fractional)
Nb 0.000 0.500 0.000
Nb 0.500 0.000 0.000
Ru 0.000 0.000 0.500
C 0.500 0.500 0.000
S 0.500 0.500 0.500

DOS(E_F), states/eV/f.u.: 6.9
E, eV/atom: -7.928
Space-group type: P4/mmm (123)
Raw formation energy, eV per atom: 0.6255



This record from Alexandria via LeMat-Bulk describes a relaxed structure of Nd8Te4As3S. The functional is PBE-GGA.

Cell: 8.859 8.859 8.859 Å, 58.16 58.16 58.16°
Element x y z (fractional)
Nd 0.240 0.240 0.240
Nd 0.242 0.737 0.737
Nd 0.263 0.263 0.758
Nd 0.263 0.758 0.263
Nd 0.737 0.242 0.737
Nd 0.737 0.737 0.242
Nd 0.758 0.263 0.263
Nd 0.760 0.760 0.760
Te 0.000 0.000 0.000
Te 0.000 0.500 0.500
Te 0.500 0.000 0.500
Te 0.500 0.500 0.000
As 0.000 0.000 0.500
As 0.000 0.500 0.000
As 0.500 0.000 0.000
S 0.500 0.500 0.500

DOS(E_F), states/eV/f.u.: 7.9
E, eV/atom: -5.889
Space-group type: R-3m (166)
Raw formation energy, eV per atom: -1.5897



This record from Alexandria via LeMat-Bulk describes a relaxed structure of ThZnGeRh3. The functional is PBE-GGA.

Cell: 6.783 6.783 6.000 Å, 90.00 90.00 127.25°
Element x y z (fractional)
Th 0.178 0.822 0.750
Th 0.822 0.178 0.250
Zn 0.418 0.582 0.750
Zn 0.582 0.418 0.250
Ge 0.129 0.871 0.250
Ge 0.871 0.129 0.750
Rh 0.227 0.227 0.000
Rh 0.227 0.227 0.500
Rh 0.329 0.671 0.250
Rh 0.671 0.329 0.750
Rh 0.773 0.773 0.000
Rh 0.773 0.773 0.500

DOS(E_F), states/eV/f.u.: 3.3
E, eV/atom: -6.399
Space-group type: Cmcm (63)
Energy of formation from the pure elements, eV per formula unit: -3.03



This record from Alexandria via LeMat-Bulk describes a relaxed structure of Nd3Sm2Dy6Ho. The functional is PBE-GGA.

Cell: 6.223 6.223 11.854 Å, 95.00 95.00 119.98°
Element x y z (fractional)
Nd 0.000 0.000 0.000
Nd 0.333 0.667 0.000
Nd 0.667 0.333 0.000
Sm 0.167 0.833 0.500
Sm 0.833 0.167 0.500
Dy 0.084 0.417 0.252
Dy 0.250 0.250 0.748
Dy 0.417 0.084 0.252
Dy 0.583 0.916 0.748
Dy 0.750 0.750 0.252
Dy 0.916 0.583 0.748
Ho 0.500 0.500 0.500

DOS(E_F), states/eV/f.u.: 14.8
E, eV/atom: -4.646
Space-group type: C2/m (12)
Energy of formation from the pure elements, eV per formula unit: 0.18



This record from Alexandria via LeMat-Bulk describes a relaxed structure of GdHo2Be. The functional is PBE-GGA.

Cell: 3.450 3.450 8.615 Å, 90.00 90.00 90.00°
Element x y z (fractional)
Gd 0.000 0.000 0.000
Ho 0.500 0.500 0.310
Ho 0.500 0.500 0.690
Be 0.000 0.000 0.500

DOS(E_F), states/eV/f.u.: 4.7
E, eV/atom: -6.672
Energy above the most stable polymorph in this dataset, meV/atom: 0
Space-group type: P4/mmm (123)
Energy of formation from the pure elements, eV per formula unit: 0.27